1.
The following is a GGA-PBE calculation of CdAgPd2 after structural relaxation, from OQMD via LeMat-Bulk.

Energy of formation: -0.27 eV/atom
Crystal system: tetragonal
Space-group type: No. 139
E: -0.1392 hartree per atom

Lattice parameters (Å, degrees): 4.5586 6.5677 13.6756 90.00 90.00 90.00
Closest atoms and distances in Å follow each position.
Fractional positions:
Cd (0.0000, 0.5000, 0.6666)  8 Pd 2.81
Cd (0.5000, 0.0000, 0.5000)  8 Pd 2.81
Cd (0.5000, 0.0000, 0.1666)  8 Pd 2.81
Cd (0.5000, 0.0000, 0.8334)  8 Pd 2.81
Cd (0.0000, 0.5000, 0.0000)  8 Pd 2.81
Cd (0.0000, 0.5000, 0.3334)  8 Pd 2.81
Pd (0.0000, 0.7498, 0.1667)  4 Ag 2.81, 4 Cd 2.81
Pd (0.5000, 0.2500, 0.0000)  4 Cd 2.81, 4 Ag 2.81
Pd (0.5000, 0.7500, 0.0000)  4 Cd 2.81, 4 Ag 2.81
Pd (0.5000, 0.2498, 0.3333)  4 Ag 2.81, 4 Cd 2.81
Pd (0.0000, 0.7501, 0.5000)  4 Cd 2.81, 4 Ag 2.81
Pd (0.5000, 0.7502, 0.3333)  4 Ag 2.81, 4 Cd 2.81
Pd (0.0000, 0.7498, 0.8333)  4 Ag 2.81, 4 Cd 2.81
Pd (0.0000, 0.2502, 0.1667)  4 Ag 2.81, 4 Cd 2.81
Pd (0.0000, 0.2499, 0.5000)  4 Cd 2.81, 4 Ag 2.81
Pd (0.5000, 0.7502, 0.6667)  4 Ag 2.81, 4 Cd 2.81
Pd (0.0000, 0.2502, 0.8333)  4 Ag 2.81, 4 Cd 2.81
Pd (0.5000, 0.2498, 0.6667)  4 Ag 2.81, 4 Cd 2.81
Ag (0.0000, 0.0000, 0.3333)  8 Pd 2.81
Ag (0.5000, 0.5000, 0.1667)  8 Pd 2.81
Ag (0.5000, 0.5000, 0.5000)  8 Pd 2.81
Ag (0.0000, 0.0000, 0.0000)  8 Pd 2.81
Ag (0.5000, 0.5000, 0.8333)  8 Pd 2.81
Ag (0.0000, 0.0000, 0.6667)  8 Pd 2.81

=====

2.
The following is a GGA-PBE calculation of Sm3Cd3Ag2Pd after structural relaxation, from OQMD via LeMat-Bulk.

Energy of formation: -0.43 eV/atom
Crystal system: hexagonal
Space-group type: No. 189
Total magnetization: 0.02 μB per cell
E: -0.1288 hartree per atom

Lattice parameters (Å, degrees): 7.8754 7.8754 3.9823 90.00 90.00 120.00
Closest atoms and distances in Å follow each position.
Fractional positions:
Pd (0.0000, 0.0000, 0.0000)  6 Cd 2.84, 3 Sm 3.11
Ag (0.6667, 0.3333, 0.5000)  3 Cd 2.97, 6 Sm 3.13
Ag (0.3333, 0.6667, 0.5000)  3 Cd 2.97, 6 Sm 3.13
Cd (0.7433, 0.7433, 0.5000)  2 Pd 2.84, 2 Ag 2.97
Cd (0.0000, 0.2567, 0.5000)  2 Pd 2.84, 2 Ag 2.97
Cd (0.2567, 0.0000, 0.5000)  2 Pd 2.84, 2 Ag 2.97
Sm (0.6046, 0.0000, 0.0000)  1 Pd 3.11, 4 Ag 3.13, 6 Cd 3.38-3.39
Sm (0.3954, 0.3954, 0.0000)  1 Pd 3.11, 4 Ag 3.13, 6 Cd 3.38-3.39
Sm (0.0000, 0.6046, 0.0000)  1 Pd 3.11, 4 Ag 3.13, 6 Cd 3.38-3.39

=====

3.
The following is a GGA-PBE calculation of Sm3Cd3AgPd2 after structural relaxation, from OQMD via LeMat-Bulk.

Energy of formation: -0.59 eV/atom
Crystal system: hexagonal
Space-group type: No. 189
Total magnetization: 0.01 μB per cell
E: -0.1443 hartree per atom

Lattice parameters (Å, degrees): 7.8357 7.8357 3.9333 90.00 90.00 120.00
Closest atoms and distances in Å follow each position.
Fractional positions:
Sm (0.5882, 0.0000, 0.0000)  4 Pd 3.08, 1 Ag 3.23, 6 Cd 3.23-3.44
Sm (0.0000, 0.5882, 0.0000)  4 Pd 3.08, 1 Ag 3.23, 6 Cd 3.23-3.44
Sm (0.4118, 0.4118, 0.0000)  4 Pd 3.08, 1 Ag 3.23, 6 Cd 3.23-3.44
Pd (0.3333, 0.6667, 0.5000)  3 Cd 2.93, 6 Sm 3.08
Pd (0.6667, 0.3333, 0.5000)  3 Cd 2.93, 6 Sm 3.08
Cd (0.0000, 0.2614, 0.5000)  2 Ag 2.84, 2 Pd 2.93
Cd (0.7386, 0.7386, 0.5000)  2 Ag 2.84, 2 Pd 2.93
Cd (0.2614, 0.0000, 0.5000)  2 Ag 2.84, 2 Pd 2.93
Ag (0.0000, 0.0000, 0.0000)  6 Cd 2.84

=====

4.
The following is a GGA-PBE calculation of PmCd2Ag4 after structural relaxation, from OQMD via LeMat-Bulk.

Energy of formation: -0.21 eV/atom
Crystal system: monoclinic
Space-group type: No. 12
Total magnetization: 0.01 μB per cell
E: -0.1014 hartree per atom

Lattice parameters (Å, degrees): 5.8264 5.8264 5.5854 118.28 118.28 76.83
Closest atoms and distances in Å follow each position.
Fractional positions:
Ag (0.9991, 0.3867, 0.6927)  4 Ag 2.81-3.03, 4 Cd 2.96-2.98
Ag (0.3867, 0.9991, 0.6927)  4 Ag 2.81-3.03, 4 Cd 2.96-2.98
Ag (0.6133, 0.0009, 0.3073)  4 Ag 2.81-3.03, 4 Cd 2.96-2.98
Ag (0.0009, 0.6133, 0.3073)  4 Ag 2.81-3.03, 4 Cd 2.96-2.98
Pm (0.0000, 0.0000, 0.0000)  12 Ag 3.15-3.44
Cd (0.5016, 0.5016, 0.7522)  2 Cd 2.79-2.80, 8 Ag 2.96-2.98
Cd (0.4984, 0.4984, 0.2478)  2 Cd 2.79-2.80, 8 Ag 2.96-2.98

=====

5.
The following is a GGA-PBE calculation of PmCd8Ag4 after structural relaxation, from OQMD via LeMat-Bulk.

Energy of formation: -0.16 eV/atom
Crystal system: tetragonal
Space-group type: No. 139
Total magnetization: 0.00 μB per cell
E: -0.0714 hartree per atom

Lattice parameters (Å, degrees): 7.5569 7.5569 7.5569 98.01 98.01 136.17
Closest atoms and distances in Å follow each position.
Fractional positions:
Cd (0.5000, 0.7123, 0.2123)  4 Ag 2.88, 4 Cd 2.98-3.12
Cd (0.7123, 0.5000, 0.2123)  4 Ag 2.88, 4 Cd 2.98-3.12
Cd (0.6541, 0.0000, 0.6541)  4 Ag 3.01, 5 Cd 3.06-3.24
Cd (0.3459, 0.0000, 0.3459)  4 Ag 3.01, 5 Cd 3.06-3.24
Cd (0.0000, 0.6541, 0.6541)  4 Ag 3.01, 5 Cd 3.06-3.24
Cd (0.5000, 0.2877, 0.7877)  4 Ag 2.88, 4 Cd 2.98-3.12
Cd (0.2877, 0.5000, 0.7877)  4 Ag 2.88, 4 Cd 2.98-3.12
Cd (0.0000, 0.3459, 0.3459)  4 Ag 3.01, 5 Cd 3.06-3.24
Ag (0.5000, 0.5000, 0.5000)  2 Ag 2.82, 8 Cd 2.88-3.01
Ag (0.0000, 0.5000, 0.0000)  2 Ag 2.82, 8 Cd 2.88-3.01
Ag (0.0000, 0.0000, 0.5000)  2 Ag 2.82, 8 Cd 2.88-3.01
Ag (0.5000, 0.0000, 0.0000)  2 Ag 2.82, 8 Cd 2.88-3.01
Pm (0.0000, 0.0000, 0.0000)  12 Cd 3.43-3.52, 8 Ag 3.78

=====

6.
The following is a GGA-PBE calculation of PrCd8Ag4 after structural relaxation, from OQMD via LeMat-Bulk.

Energy of formation: -0.17 eV/atom
Crystal system: tetragonal
Space-group type: No. 139
Total magnetization: 0.00 μB per cell
E: -0.0718 hartree per atom

Lattice parameters (Å, degrees): 7.5780 7.5780 7.5780 97.95 97.95 136.35
Closest atoms and distances in Å follow each position.
Fractional positions:
Cd (0.2868, 0.5000, 0.7868)  4 Ag 2.88, 4 Cd 3.00-3.11
Cd (0.5000, 0.2868, 0.7868)  4 Ag 2.88, 4 Cd 3.00-3.11
Cd (0.7132, 0.5000, 0.2132)  4 Ag 2.88, 4 Cd 3.00-3.11
Cd (0.0000, 0.3458, 0.3458)  4 Ag 3.01, 5 Cd 3.07-3.24
Cd (0.5000, 0.7132, 0.2132)  4 Ag 2.88, 4 Cd 3.00-3.11
Cd (0.0000, 0.6542, 0.6542)  4 Ag 3.01, 5 Cd 3.07-3.24
Cd (0.3458, 0.0000, 0.3458)  4 Ag 3.01, 5 Cd 3.07-3.24
Cd (0.6542, 0.0000, 0.6542)  4 Ag 3.01, 5 Cd 3.07-3.24
Ag (0.0000, 0.5000, 0.0000)  2 Ag 2.82, 8 Cd 2.88-3.01
Ag (0.5000, 0.0000, 0.0000)  2 Ag 2.82, 8 Cd 2.88-3.01
Ag (0.0000, 0.0000, 0.5000)  2 Ag 2.82, 8 Cd 2.88-3.01
Ag (0.5000, 0.5000, 0.5000)  2 Ag 2.82, 8 Cd 2.88-3.01
Pr (0.0000, 0.0000, 0.0000)  12 Cd 3.44-3.53, 8 Ag 3.79

=====

7.
The following is a GGA-PBE calculation of PrCdAg after structural relaxation, from OQMD via LeMat-Bulk.

Energy of formation: -0.33 eV/atom
Crystal system: orthorhombic
Space-group type: No. 44
Total magnetization: 0.02 μB per cell
E: -0.1160 hartree per atom

Lattice parameters (Å, degrees): 6.0808 6.0808 6.0808 131.79 109.10 90.36
Closest atoms and distances in Å follow each position.
Fractional positions:
Ag (0.0540, 0.3336, 0.7204)  3 Cd 2.87-2.88, 1 Ag 3.11
Ag (0.6132, 0.3336, 0.2796)  3 Cd 2.87-2.88, 1 Ag 3.11
Pr (0.0198, 0.0198, 0.0000)  6 Ag 3.34, 6 Cd 3.39-3.42, 2 Pr 3.54
Pr (0.4808, 0.9808, 0.5000)  6 Cd 3.32-3.35, 6 Ag 3.40-3.41, 2 Pr 3.54
Cd (0.8915, 0.6661, 0.2254)  3 Ag 2.87-2.88, 1 Cd 3.18
Cd (0.4406, 0.6661, 0.7746)  3 Ag 2.87-2.88, 1 Cd 3.18

=====

8.
The following is a GGA-PBE calculation of PrCdAg after structural relaxation, from OQMD via LeMat-Bulk.

Energy of formation: 0.14 eV/atom
Crystal system: cubic
Space-group type: No. 216
Total magnetization: 0.01 μB per cell
E: -0.0990 hartree per atom

Lattice parameters (Å, degrees): 5.0826 5.0826 5.0826 60.00 60.00 60.00
Closest atoms and distances in Å follow each position.
Fractional positions:
Pr (0.0000, 0.0000, 0.0000)  4 Cd 3.11, 4 Ag 3.11
Ag (0.2500, 0.2500, 0.2500)  4 Pr 3.11
Cd (0.7500, 0.7500, 0.7500)  4 Pr 3.11

=====

9.
The following is a GGA-PBE calculation of Pr3CdAg2 after structural relaxation, from OQMD via LeMat-Bulk.

Energy of formation: -0.28 eV/atom
Crystal system: tetragonal
Space-group type: No. 123
Total magnetization: 0.59 μB per cell
E: -0.1383 hartree per atom

Lattice parameters (Å, degrees): 3.8229 3.8229 11.3636 90.00 90.00 90.00
Closest atoms and distances in Å follow each position.
Fractional positions:
Pr (0.5000, 0.5000, 0.0000)  8 Ag 3.29
Pr (0.5000, 0.5000, 0.3276)  4 Ag 3.28, 4 Cd 3.34
Pr (0.5000, 0.5000, 0.6724)  4 Ag 3.28, 4 Cd 3.34
Cd (0.0000, 0.0000, 0.5000)  8 Pr 3.34
Ag (0.0000, 0.0000, 0.8355)  8 Pr 3.28-3.29
Ag (0.0000, 0.0000, 0.1645)  8 Pr 3.28-3.29

=====

10.
The following is a GGA-PBE calculation of Pr3Cd3AgPt2 after structural relaxation, from OQMD via LeMat-Bulk.

Energy of formation: -0.70 eV/atom
Crystal system: hexagonal
Space-group type: No. 189
Total magnetization: 0.05 μB per cell
E: -0.1563 hartree per atom

Lattice parameters (Å, degrees): 7.8266 7.8266 4.0477 90.00 90.00 120.00
Closest atoms and distances in Å follow each position.
Fractional positions:
Cd (0.2551, 0.0000, 0.0000)  2 Ag 2.84, 2 Pt 2.96
Cd (0.7448, 0.7448, 0.0000)  2 Ag 2.84, 2 Pt 2.96
Cd (0.0000, 0.2551, 0.0000)  2 Ag 2.84, 2 Pt 2.96
Pt (0.3333, 0.6667, 0.0000)  3 Cd 2.96, 6 Pr 3.10
Pt (0.6667, 0.3333, 0.0000)  3 Cd 2.96, 6 Pr 3.10
Pr (0.0000, 0.5846, 0.5000)  4 Pt 3.10, 1 Ag 3.25, 2 Cd 3.28
Pr (0.5846, 0.0000, 0.5000)  4 Pt 3.10, 1 Ag 3.25, 2 Cd 3.28
Pr (0.4154, 0.4154, 0.5000)  4 Pt 3.10, 1 Ag 3.25, 2 Cd 3.28
Ag (0.0000, 0.0000, 0.5000)  6 Cd 2.84

=====

11.
The following is a GGA-PBE calculation of PrTmCd2Ag4 after structural relaxation, from OQMD via LeMat-Bulk.

Energy of formation: -0.28 eV/atom
Crystal system: tetragonal
Space-group type: No. 123
Total magnetization: 0.01 μB per cell
E: -0.1128 hartree per atom

Lattice parameters (Å, degrees): 4.9909 4.9909 7.0560 90.00 90.00 90.00
Closest atoms and distances in Å follow each position.
Fractional positions:
Ag (0.5000, 0.0000, 0.7336)  2 Tm 2.99, 4 Cd 2.99-3.12, 2 Pr 3.12, 1 Ag 3.30
Ag (0.0000, 0.5000, 0.7336)  4 Cd 2.99-3.12, 2 Tm 2.99, 2 Pr 3.12, 1 Ag 3.30
Ag (0.5000, 0.0000, 0.2664)  2 Tm 2.99, 4 Cd 2.99-3.12, 2 Pr 3.12, 1 Ag 3.30
Ag (0.0000, 0.5000, 0.2664)  2 Tm 2.99, 4 Cd 2.99-3.12, 2 Pr 3.12, 1 Ag 3.30
Tm (0.5000, 0.5000, 0.5000)  8 Ag 2.99
Cd (0.5000, 0.5000, 0.0000)  8 Ag 3.12
Cd (0.0000, 0.0000, 0.5000)  8 Ag 2.99
Pr (0.0000, 0.0000, 0.0000)  8 Ag 3.12

=====

12.
The following is a GGA-PBE calculation of PrY2Cd3Ag3 after structural relaxation, from OQMD via LeMat-Bulk.

Energy of formation: -0.34 eV/atom
Crystal system: orthorhombic
Space-group type: No. 38
Total magnetization: 0.00 μB per cell
E: -0.1305 hartree per atom

Lattice parameters (Å, degrees): 3.9595 7.9182 7.9182 120.11 90.00 90.00
Closest atoms and distances in Å follow each position.
Fractional positions:
Cd (0.5000, 0.2585, 0.2585)  4 Ag 2.83-3.00
Cd (0.5000, 0.0035, 0.7388)  4 Ag 2.88-2.99
Cd (0.5000, 0.7388, 0.0035)  4 Ag 2.88-2.99
Pr (0.0000, 0.5948, 0.5948)  5 Ag 3.15-3.22, 6 Cd 3.31-3.46
Ag (0.0000, 0.0018, 0.0018)  6 Cd 2.83-2.88
Ag (0.5000, 0.6680, 0.3285)  3 Cd 2.90-3.00, 4 Y 3.09-3.10, 2 Pr 3.15
Ag (0.5000, 0.3285, 0.6680)  3 Cd 2.90-3.00, 4 Y 3.09-3.10, 2 Pr 3.15
Y (0.0000, 0.4057, 0.0003)  5 Ag 3.09-3.20, 6 Cd 3.29-3.44
Y (0.0000, 0.0003, 0.4057)  5 Ag 3.09-3.20, 6 Cd 3.29-3.44